! GGA-PBE MnAlMo, optimized geometry; values from VASP
! Final energy, eV per cell: -23.8
! SG: Imm2, No. 44
! Spin magnetization, μB/f.u.: 1.75
&SYSTEM
  ibrav = 0, nat = 3, ntyp = 3
/
ATOMIC_SPECIES
Mn 54.94 Mn.upf
Mo 95.94 Mo.upf
Al 26.98 Al.upf
ATOMIC_POSITIONS angstrom
Mn 4.608 2.679 0.000
Mo 2.320 1.349 0.000
Al 0.026 0.015 0.000
CELL_PARAMETERS angstrom
4.672 -0.034 0.016
2.282 4.076 -0.016
-3.054 -2.749 2.223


! GGA-PBE Mn2AlMo, optimized geometry; values from VASP
! Final energy, eV per cell: -33.4
! SG: Imm2, No. 44
! Spin magnetization, μB/f.u.: 0.00
&SYSTEM
  ibrav = 0, nat = 4, ntyp = 3
/
ATOMIC_SPECIES
Mo 95.94 Mo.upf
Mn 54.94 Mn.upf
Al 26.98 Al.upf
ATOMIC_POSITIONS angstrom
Mo -3.974 -1.807 -3.797
Mn -2.662 -3.103 -0.222
Mn -5.997 -2.676 -5.791
Al -2.018 -0.873 -1.982
CELL_PARAMETERS angstrom
-3.715 0.621 -3.111
-1.651 -1.052 -4.476
-2.641 -3.124 -0.165


! GGA-PBE Mn2AlMo, optimized geometry; values from VASP
! Final energy, eV per cell: -33.4
! SG: P4/mmm, No. 123
! Spin magnetization, μB/f.u.: 1.01
&SYSTEM
  ibrav = 0, nat = 4, ntyp = 3
/
ATOMIC_SPECIES
Al 26.98 Al.upf
Mn 54.94 Mn.upf
Mo 95.94 Mo.upf
ATOMIC_POSITIONS angstrom
Al -0.005 2.068 1.500
Mn 2.063 2.073 0.000
Mn 0.000 0.000 0.000
Mo 2.068 0.005 1.500
CELL_PARAMETERS angstrom
4.136 0.010 0.000
-0.009 4.136 0.000
0.000 0.000 3.001


! GGA-PBE Mn2AlMo, optimized geometry; values from VASP
! Final energy, eV per cell: -33.0
! SG: F-43m, No. 216
! Spin magnetization, μB/f.u.: 4.99
&SYSTEM
  ibrav = 0, nat = 4, ntyp = 3
/
ATOMIC_SPECIES
Mn 54.94 Mn.upf
Al 26.98 Al.upf
Mo 95.94 Mo.upf
ATOMIC_POSITIONS angstrom
Mn 0.000 0.000 0.000
Mn 2.140 1.236 0.874
Al 4.281 2.471 1.748
Mo 6.421 3.707 2.621
CELL_PARAMETERS angstrom
4.281 0.000 0.000
2.140 3.707 0.000
2.140 1.236 3.495